Record 1
Here is a geometry-optimized BaNa2CrOs structure from Alexandria via LeMat-Bulk. Energies are from PBE.

ρ in kg/m³: 5122
DFT formation energy in eV per atom: 0.84
Fermi-level density of states in states/eV/cell: 4.5
Calculated volume in Å³ per atom: 27.59
Total DFT energy (no corrections) in eV per atom: -4.243

The structure in CIF format:
```
data_BaNa2CrOs
_cell_length_a 5.474
_cell_length_b 5.474
_cell_length_c 4.604
_cell_angle_alpha 90.00
_cell_angle_beta 90.00
_cell_angle_gamma 90.00
_space_group_name_H-M_alt 'P 4/m m m'
_space_group_IT_number 123
_space_group_name_Hall '-P 4 2'
loop_
_atom_site_label
_atom_site_type_symbol
_atom_site_fract_x
_atom_site_fract_y
_atom_site_fract_z
_atom_site_occupancy
Ba1 Ba 0.000 0.000 0.000 1
Na1 Na 0.000 0.500 0.500 1
Cr1 Cr 0.500 0.500 0.500 1
Os1 Os 0.500 0.500 0.000 1
```

***

Record 2
Here is a geometry-optimized BaNa2CrP structure from Alexandria via LeMat-Bulk. Energies are from PBE.

ρ in kg/m³: 2962
DFT formation energy in eV per atom: 0.10
Fermi-level density of states in states/eV/cell: 4.3
Calculated volume in Å³ per atom: 29.85
Total DFT energy (no corrections) in eV per atom: -3.816

The structure in CIF format:
```
data_BaNa2CrP
_cell_length_a 5.640
_cell_length_b 5.640
_cell_length_c 4.693
_cell_angle_alpha 90.00
_cell_angle_beta 90.00
_cell_angle_gamma 90.00
_space_group_name_H-M_alt 'P 4/m m m'
_space_group_IT_number 123
_space_group_name_Hall '-P 4 2'
loop_
_atom_site_label
_atom_site_type_symbol
_atom_site_fract_x
_atom_site_fract_y
_atom_site_fract_z
_atom_site_occupancy
Ba1 Ba 0.000 0.000 0.000 1
Na1 Na 0.000 0.500 0.500 1
Cr1 Cr 0.500 0.500 0.000 1
P1 P 0.500 0.500 0.500 1
```